Entry A
The following is a DFT calculation (GGA-PBE) of RbTe2NF after structural relaxation.

- size of the total moment (μB per formula unit) = 2.99

Cell: 4.854 4.854 6.042 Å, 90.00 90.00 90.00°
Atoms (fractional coordinates):
Rb  0.000  0.000  0.000
Te  0.000  0.500  0.500
Te  0.500  0.000  0.500
N  0.500  0.500  0.000
F  0.500  0.500  0.500



Entry B
The following is a DFT calculation (GGA-PBE) of RbTe2NF after structural relaxation.

- size of the total moment (μB per formula unit) = 0.00

Cell: 6.495 6.495 4.234 Å, 90.00 90.00 90.00°
Atoms (fractional coordinates):
Rb  0.000  0.000  0.000
Te  0.000  0.500  0.000
Te  0.500  0.000  0.000
N  0.000  0.000  0.500
F  0.500  0.500  0.500



What should be chosen as the most stable of them? Choose entry A.



Entry A
The following is a DFT calculation (GGA-PBE) of RbTlN2F after structural relaxation.

- size of the total moment (μB per formula unit) = 5.00

Cell: 5.493 5.493 5.098 Å, 90.00 90.00 90.00°
Atoms (fractional coordinates):
Rb  0.000  0.000  0.000
Tl  0.500  0.500  0.500
N  0.000  0.500  0.000
N  0.500  0.000  0.000
F  0.000  0.000  0.500



Entry B
The following is a DFT calculation (GGA-PBE) of RbTlN2F after structural relaxation.

- size of the total moment (μB per formula unit) = 2.94

Cell: 4.483 4.483 4.958 Å, 90.00 90.00 90.00°
Atoms (fractional coordinates):
Rb  0.000  0.000  0.000
Tl  0.500  0.500  0.500
N  0.000  0.500  0.500
N  0.500  0.000  0.500
F  0.500  0.500  0.000



What should be chosen as the most stable of them? Choose entry B.